First-principles (GGA-PBEsol) data for crystalline BaSCl2O at its relaxed geometry, as listed in Alexandria via LeMat-Bulk.

Computed properties:
Calculated volume (Å³/cell): 98.2
Uncorrected formation energy (eV per atom): -0.809
Magnetic moment (μB/f.u.): 0.0
Final energy (eV/cell): -19.8

The structure in POSCAR format:
```
BaSCl2O
1.0
4.8199 0.0000 0.0000
0.0000 4.8199 0.0000
0.0000 0.0000 4.2290
Ba S Cl O
1 1 2 1
Direct
0.0000 0.0000 0.0000
0.5000 0.5000 0.0000
0.0000 0.5000 0.5000
0.5000 0.0000 0.5000
0.5000 0.5000 0.5000
```

---

First-principles (GGA-PBEsol) data for crystalline Ba5SiCl6O4 at its relaxed geometry, as listed in Alexandria via LeMat-Bulk.

Computed properties:
Calculated volume (Å³/cell): 782.5
Uncorrected formation energy (eV per atom): -2.752
Magnetic moment (μB/f.u.): 0.0
Final energy (eV/cell): -187.1

The structure in POSCAR format:
```
Ba5SiCl6O4
1.0
4.7132 -7.3364 0.0000
4.7132 7.3364 0.0000
-2.9398 0.0000 11.3143
Ba Si Cl O
10 2 12 8
Direct
0.0742 0.2290 0.6331
0.2001 0.7999 0.7500
0.2290 0.0742 0.1331
0.3170 0.5748 0.0198
0.4252 0.6830 0.4802
0.5748 0.3170 0.5198
0.6830 0.4252 0.9802
0.7710 0.9258 0.8669
0.7999 0.2001 0.2500
0.9258 0.7710 0.3669
0.4219 0.5781 0.7500
0.5781 0.4219 0.2500
0.0000 0.5000 0.5000
0.0188 0.7184 0.9512
0.1458 0.2014 0.3681
0.2014 0.1458 0.8681
0.2411 0.7589 0.2500
0.2816 0.9812 0.5488
0.5000 0.0000 0.0000
0.7184 0.0188 0.4512
0.7589 0.2411 0.7500
0.7986 0.8542 0.1319
0.8542 0.7986 0.6319
0.9812 0.2816 0.0488
0.2317 0.5222 0.7860
0.4011 0.4411 0.6309
0.4411 0.4011 0.1309
0.4778 0.7683 0.7140
0.5222 0.2317 0.2860
0.5589 0.5989 0.8691
0.5989 0.5589 0.3691
0.7683 0.4778 0.2140
```

---

First-principles (GGA-PBEsol) data for crystalline Ba5Ta2Cl2O9 at its relaxed geometry, as listed in Alexandria via LeMat-Bulk.

Computed properties:
Calculated volume (Å³/cell): 759.5
Uncorrected formation energy (eV per atom): -2.907
Magnetic moment (μB/f.u.): 0.0
Final energy (eV/cell): -278.9

The structure in POSCAR format:
```
Ba5Ta2Cl2O9
1.0
5.9429 0.0000 0.0000
-2.9714 5.1467 0.0000
0.0000 0.0000 24.8312
Ba Ta Cl O
10 4 4 18
Direct
0.3333 0.6667 0.0811
0.3333 0.6667 0.2500
0.3333 0.6667 0.4189
0.3333 0.6667 0.6720
0.3333 0.6667 0.8280
0.6667 0.3333 0.1720
0.6667 0.3333 0.3280
0.6667 0.3333 0.5811
0.6667 0.3333 0.7500
0.6667 0.3333 0.9189
0.0000 0.0000 0.1898
0.0000 0.0000 0.3102
0.0000 0.0000 0.6898
0.0000 0.0000 0.8102
0.3333 0.6667 0.5472
0.3333 0.6667 0.9528
0.6667 0.3333 0.0472
0.6667 0.3333 0.4528
0.1487 0.2975 0.7500
0.1487 0.8513 0.7500
0.1637 0.3275 0.1552
0.1637 0.3275 0.3448
0.1637 0.8363 0.1552
0.1637 0.8363 0.3448
0.2975 0.1487 0.2500
0.3275 0.1637 0.6552
0.3275 0.1637 0.8448
0.6725 0.8363 0.1552
0.6725 0.8363 0.3448
0.7025 0.8513 0.7500
0.8363 0.1637 0.6552
0.8363 0.1637 0.8448
0.8363 0.6725 0.6552
0.8363 0.6725 0.8448
0.8513 0.1487 0.2500
0.8513 0.7025 0.2500
```

---

First-principles (GGA-PBEsol) data for crystalline BaOsCl2 at its relaxed geometry, as listed in Alexandria via LeMat-Bulk.

Computed properties:
Calculated volume (Å³/cell): 102.8
Polymorph energy (0 for the lowest one) (meV per atom): 589
Uncorrected formation energy (eV per atom): 0.236
Magnetic moment (μB/f.u.): 4.0
Final energy (eV/cell): -17.4

The structure in POSCAR format:
```
BaOsCl2
1.0
3.8247 0.0000 0.0000
0.0000 3.8247 0.0000
0.0000 0.0000 7.0287
Ba Os Cl
1 1 2
Direct
0.0000 0.0000 0.0000
0.0000 0.0000 0.5000
0.5000 0.5000 0.2323
0.5000 0.5000 0.7677
```